(1)
# PBE TiTcSb2I, relaxed
data_TiTcSb2I
_chemical_formula_sum 'Ti1 Tc1 Sb2 I1'
_cell_length_a 5.0679
_cell_length_b 5.0679
_cell_length_c 5.7865
_cell_angle_alpha 90.00
_cell_angle_beta 90.00
_cell_angle_gamma 90.00
_space_group_name_H-M_alt 'P 4/m m m'
_space_group_IT_number 123
_space_group_name_Hall '-P 4 2'
loop_
_atom_site_label
_atom_site_type_symbol
_atom_site_fract_x
_atom_site_fract_y
_atom_site_fract_z
_atom_site_occupancy
Ti1 Ti 0.0000 0.0000 0.0000 1
Tc1 Tc 0.5000 0.5000 0.5000 1
Sb1 Sb 0.0000 0.5000 0.5000 1
I1 I 0.5000 0.5000 0.0000 1
# formation energy without anion corrections = 780.6 meV per atom
# DFT total energy = -4.83 eV/atom
# crystal system = tetragonal
# magnetization = 0.57 μB/atom

=====

(2)
# PBE KNiI, relaxed
data_KNiI
_chemical_formula_sum 'K4 Ni4 I4'
_cell_length_a 4.4408
_cell_length_b 9.9812
_cell_length_c 8.9491
_cell_angle_alpha 90.00
_cell_angle_beta 90.00
_cell_angle_gamma 90.00
_space_group_name_H-M_alt 'A m m 2'
_space_group_IT_number 38
_space_group_name_Hall 'A 2 -2'
loop_
_atom_site_label
_atom_site_type_symbol
_atom_site_fract_x
_atom_site_fract_y
_atom_site_fract_z
_atom_site_occupancy
K1 K 0.0000 0.2441 0.0000 1
Ni1 Ni 0.0000 0.0000 0.2273 1
Ni2 Ni 0.5000 0.0000 0.0813 1
I1 I 0.5000 0.0000 0.3493 1
I2 I 0.5000 0.0000 0.8083 1
# formation energy without anion corrections = -290.5 meV per atom
# DFT total energy = -3.10 eV/atom
# crystal system = orthorhombic
# magnetization = 0.00 μB/atom

=====

(3)
# PBE BaSiAs6Ru2, relaxed
data_BaSiAs6Ru2
_chemical_formula_sum 'Ba3 Si3 As18 Ru6'
_cell_length_a 7.2133
_cell_length_b 7.2133
_cell_length_c 14.7406
_cell_angle_alpha 90.00
_cell_angle_beta 90.00
_cell_angle_gamma 120.00
_space_group_name_H-M_alt 'R -3'
_space_group_IT_number 148
_space_group_name_Hall '-R 3'
loop_
_atom_site_label
_atom_site_type_symbol
_atom_site_fract_x
_atom_site_fract_y
_atom_site_fract_z
_atom_site_occupancy
Ba1 Ba 0.0000 0.0000 0.0000 1
Si1 Si 0.0000 0.0000 0.5000 1
As1 As 0.0325 0.4439 0.9054 1
Ru1 Ru 0.0000 0.0000 0.3453 1
# formation energy without anion corrections = -138.3 meV per atom
# DFT total energy = -5.52 eV/atom
# crystal system = trigonal
# magnetization = 0.00 μB/atom

=====

(4)
# PBE Ca2Mg15Cd2, relaxed
data_Ca2Mg15Cd2
_chemical_formula_sum 'Ca6 Mg45 Cd6'
_cell_length_a 10.3410
_cell_length_b 10.3410
_cell_length_c 15.2619
_cell_angle_alpha 90.00
_cell_angle_beta 90.00
_cell_angle_gamma 120.00
_space_group_name_H-M_alt 'R -3 m'
_space_group_IT_number 166
_space_group_name_Hall '-R 3 2"'
loop_
_atom_site_label
_atom_site_type_symbol
_atom_site_fract_x
_atom_site_fract_y
_atom_site_fract_z
_atom_site_occupancy
Ca1 Ca 0.0000 0.0000 0.1682 1
Mg1 Mg 0.0000 0.3032 0.5000 1
Mg2 Mg 0.0000 0.5000 0.0000 1
Mg3 Mg 0.0035 0.5018 0.6540 1
Cd1 Cd 0.0000 0.0000 0.3987 1
# ΔH_f (0 K) = -0.97 eV/f.u.
# DFT total energy = -1.62 eV/atom
# crystal system = trigonal
# magnetization = 0.00 μB/atom

=====

magnetization of number 2 (KNiI)?
0.00 μB/atom